No. 1
Here is a relaxed LiTi2AuN crystal from Alexandria via LeMat-Bulk. Energies are from PBE-GGA. Values from VASP.

Structure (Quantum ESPRESSO input):
```
&SYSTEM
  ibrav = 0, nat = 5, ntyp = 4
/
ATOMIC_SPECIES
Au 196.97 Au.upf
N 14.01 N.upf
Ti 47.87 Ti.upf
Li 6.94 Li.upf
CELL_PARAMETERS angstrom
4.095 0.000 0.000
0.000 4.095 0.000
0.000 0.000 4.048
ATOMIC_POSITIONS crystal
Au 0.500 0.500 0.500
N 0.000 0.000 0.000
Ti 0.000 0.500 0.000
Ti 0.500 0.000 0.000
Li 0.000 0.000 0.500
```

Calculated values
**Volume**: 68 Å³ per cell
**Total energy**: -33.47 eV/cell
**Energy relative to the elements, uncorrected**: -80 kJ per mole of atoms

***

No. 2
Here is a relaxed Li2YAuN crystal from Alexandria via LeMat-Bulk. Energies are from PBE-GGA. Values from VASP.

Structure (Quantum ESPRESSO input):
```
&SYSTEM
  ibrav = 0, nat = 5, ntyp = 4
/
ATOMIC_SPECIES
Li 6.94 Li.upf
N 14.01 N.upf
Au 196.97 Au.upf
Y 88.91 Y.upf
CELL_PARAMETERS angstrom
-1.194 0.416 4.048
3.386 -2.239 1.229
2.471 3.916 0.327
ATOMIC_POSITIONS crystal
Li 0.000 0.500 0.000
Li 0.500 0.000 0.000
N 0.000 0.000 0.000
Au 0.500 0.500 0.500
Y 0.000 0.000 0.500
```

Calculated values
**Volume**: 83 Å³ per cell
**Total energy**: -25.36 eV/cell
**Energy relative to the elements, uncorrected**: -67 kJ per mole of atoms

***

No. 3
Here is a relaxed Li2ZnAuN crystal from Alexandria via LeMat-Bulk. Energies are from PBE-GGA. Values from VASP.

Structure (Quantum ESPRESSO input):
```
&SYSTEM
  ibrav = 0, nat = 5, ntyp = 4
/
ATOMIC_SPECIES
Zn 65.41 Zn.upf
Li 6.94 Li.upf
Au 196.97 Au.upf
N 14.01 N.upf
CELL_PARAMETERS angstrom
-1.152 -3.134 -2.521
-0.572 -2.468 3.329
-3.639 1.153 0.229
ATOMIC_POSITIONS crystal
Zn 0.000 0.000 0.500
Li 0.500 0.000 0.000
Li 0.000 0.500 0.000
Au 0.500 0.500 0.500
N 0.000 0.000 0.000
```

Calculated values
**Volume**: 67 Å³ per cell
**Total energy**: -18.20 eV/cell
**Energy relative to the elements, uncorrected**: -29 kJ per mole of atoms

***

No. 4
Here is a relaxed LiZr2AuN crystal from Alexandria via LeMat-Bulk. Energies are from PBE-GGA. Values from VASP.

Structure (Quantum ESPRESSO input):
```
&SYSTEM
  ibrav = 0, nat = 5, ntyp = 4
/
ATOMIC_SPECIES
Zr 91.22 Zr.upf
Au 196.97 Au.upf
N 14.01 N.upf
Li 6.94 Li.upf
CELL_PARAMETERS angstrom
4.469 0.000 0.000
0.000 4.469 0.000
0.000 0.000 4.025
ATOMIC_POSITIONS crystal
Zr 0.000 0.500 0.000
Zr 0.500 0.000 0.000
Au 0.500 0.500 0.500
N 0.000 0.000 0.000
Li 0.000 0.000 0.500
```

Calculated values
**Volume**: 80 Å³ per cell
**Total energy**: -34.83 eV/cell
**Energy relative to the elements, uncorrected**: -81 kJ per mole of atoms

***

No. 5
Here is a relaxed Na2LiAu crystal from Alexandria via LeMat-Bulk. Energies are from PBE-GGA. Values from VASP.

Structure (Quantum ESPRESSO input):
```
&SYSTEM
  ibrav = 0, nat = 4, ntyp = 3
/
ATOMIC_SPECIES
Na 22.99 Na.upf
Li 6.94 Li.upf
Au 196.97 Au.upf
CELL_PARAMETERS angstrom
4.544 0.000 0.000
0.000 4.420 0.000
0.000 0.000 4.420
ATOMIC_POSITIONS crystal
Na 0.000 0.000 0.500
Na 0.000 0.500 0.000
Li 0.500 0.000 0.000
Au 0.500 0.500 0.500
```

Calculated values
**E_form**: -173 meV per atom
**Volume**: 89 Å³ per cell
**Total energy**: -8.52 eV/cell
**Excess energy over the best structure of this formula in the dataset**: 68 meV/atom

***

No. 6
Here is a relaxed NaLiAu3 crystal from Alexandria via LeMat-Bulk. Energies are from PBE-GGA. Values from VASP.

Structure (Quantum ESPRESSO input):
```
&SYSTEM
  ibrav = 0, nat = 5, ntyp = 3
/
ATOMIC_SPECIES
Au 196.97 Au.upf
Na 22.99 Na.upf
Li 6.94 Li.upf
CELL_PARAMETERS angstrom
-4.563 -0.182 -0.973
0.285 -4.636 -0.471
-0.948 -0.520 4.542
ATOMIC_POSITIONS crystal
Au 0.000 0.000 0.500
Au 0.500 0.000 0.000
Au 0.000 0.500 0.000
Na 0.500 0.500 0.500
Li 0.000 0.000 0.000
```

Calculated values
**E_form**: -41 meV per atom
**Volume**: 102 Å³ per cell
**Total energy**: -13.27 eV/cell
**Excess energy over the best structure of this formula in the dataset**: 218 meV/atom

***

No. 7
Here is a relaxed Na2LiAu crystal from Alexandria via LeMat-Bulk. Energies are from PBE-GGA. Values from VASP.

Structure (Quantum ESPRESSO input):
```
&SYSTEM
  ibrav = 0, nat = 4, ntyp = 3
/
ATOMIC_SPECIES
Li 6.94 Li.upf
Na 22.99 Na.upf
Au 196.97 Au.upf
CELL_PARAMETERS angstrom
4.722 0.000 0.000
2.361 4.089 0.000
2.361 1.363 4.844
ATOMIC_POSITIONS crystal
Li 0.468 0.468 0.595
Na 0.233 0.233 0.302
Na 0.010 0.010 0.969
Au 0.788 0.788 0.635
```

Calculated values
**E_form**: -227 meV per atom
**Volume**: 94 Å³ per cell
**Total energy**: -8.74 eV/cell
**Excess energy over the best structure of this formula in the dataset**: 14 meV/atom

***

No. 8
Here is a relaxed NaLi2Au3 crystal from Alexandria via LeMat-Bulk. Energies are from PBE-GGA. Values from VASP.

Structure (Quantum ESPRESSO input):
```
&SYSTEM
  ibrav = 0, nat = 6, ntyp = 3
/
ATOMIC_SPECIES
Au 196.97 Au.upf
Na 22.99 Na.upf
Li 6.94 Li.upf
CELL_PARAMETERS angstrom
4.358 0.000 0.000
0.000 4.988 -2.880
0.000 0.000 5.760
ATOMIC_POSITIONS crystal
Au 0.000 0.500 0.000
Au 0.000 0.500 0.500
Au 0.000 0.000 0.500
Na 0.000 0.000 0.000
Li 0.500 0.333 0.667
Li 0.500 0.667 0.333
```

Calculated values
**E_form**: -369 meV per atom
**Volume**: 125 Å³ per cell
**Total energy**: -17.19 eV/cell
**Excess energy over the best structure of this formula in the dataset**: 0 meV/atom

***

Which of these has the lowest total energy?
LiZr2AuN

***

Number 6 is which compound?
NaLiAu3

***

Which value of volume does entry 6 give?
102 Å³ per cell

***

Repeat the fifth record exactly.
Here is a relaxed Na2LiAu crystal from Alexandria via LeMat-Bulk. Energies are from PBE-GGA. Values from VASP.

Structure (Quantum ESPRESSO input):
```
&SYSTEM
  ibrav = 0, nat = 4, ntyp = 3
/
ATOMIC_SPECIES
Na 22.99 Na.upf
Li 6.94 Li.upf
Au 196.97 Au.upf
CELL_PARAMETERS angstrom
4.544 0.000 0.000
0.000 4.420 0.000
0.000 0.000 4.420
ATOMIC_POSITIONS crystal
Na 0.000 0.000 0.500
Na 0.000 0.500 0.000
Li 0.500 0.000 0.000
Au 0.500 0.500 0.500
```

Calculated values
**E_form**: -173 meV per atom
**Volume**: 89 Å³ per cell
**Total energy**: -8.52 eV/cell
**Excess energy over the best structure of this formula in the dataset**: 68 meV/atom